Crystalline InCoRu2 at its relaxed geometry, computed with GGA-PBE.

```
InCoRu2
1.0
3.895 0.000 0.000
0.000 3.895 0.000
0.000 0.000 7.708
In Co Ru
2 2 4
Cartesian
0.000 0.000 0.000
1.948 1.948 3.854
0.000 1.948 1.927
1.948 0.000 5.781
0.000 0.000 3.854
0.000 1.948 5.781
1.948 0.000 1.927
1.948 1.948 0.000
```

Properties
DOS at the Fermi energy = 5.9 states/eV/f.u.
total moment = 2.3 μB per cell
energy of formation = 262 meV/atom
symmetry = I-4m2, No. 119



Crystalline Pu2Mn2C3 at its relaxed geometry, computed with GGA-PBE.

```
Pu2Mn2C3
1.0
11.360 0.000 0.000
0.000 3.261 0.000
-2.522 0.000 4.795
Pu Mn C
4 4 6
Cartesian
0.356 0.000 1.419
2.801 1.630 3.376
6.036 1.630 1.419
8.481 0.000 3.376
-0.169 1.630 3.947
3.327 0.000 0.848
5.511 0.000 3.947
9.006 1.630 0.848
-1.261 1.630 2.397
2.259 1.630 1.091
0.898 0.000 3.703
4.419 0.000 2.397
7.939 0.000 1.091
6.578 1.630 3.703
```

Properties
DOS at the Fermi energy = 14.9 states/eV/f.u.
total moment = 19.2 μB per cell
energy of formation = -137 meV/atom
symmetry = C2/m, No. 12



Repeat the first record exactly.
Crystalline InCoRu2 at its relaxed geometry, computed with GGA-PBE.

```
InCoRu2
1.0
3.895 0.000 0.000
0.000 3.895 0.000
0.000 0.000 7.708
In Co Ru
2 2 4
Cartesian
0.000 0.000 0.000
1.948 1.948 3.854
0.000 1.948 1.927
1.948 0.000 5.781
0.000 0.000 3.854
0.000 1.948 5.781
1.948 0.000 1.927
1.948 1.948 0.000
```

Properties
DOS at the Fermi energy = 5.9 states/eV/f.u.
total moment = 2.3 μB per cell
energy of formation = 262 meV/atom
symmetry = I-4m2, No. 119



Question: energy of formation of number 1 (InCoRu2)?
Answer: 262 meV/atom



What did the first record say?
Crystalline InCoRu2 at its relaxed geometry, computed with GGA-PBE.

```
InCoRu2
1.0
3.895 0.000 0.000
0.000 3.895 0.000
0.000 0.000 7.708
In Co Ru
2 2 4
Cartesian
0.000 0.000 0.000
1.948 1.948 3.854
0.000 1.948 1.927
1.948 0.000 5.781
0.000 0.000 3.854
0.000 1.948 5.781
1.948 0.000 1.927
1.948 1.948 0.000
```

Properties
DOS at the Fermi energy = 5.9 states/eV/f.u.
total moment = 2.3 μB per cell
energy of formation = 262 meV/atom
symmetry = I-4m2, No. 119